Record 1
! PaGa3Fe (PBE, optimized geometry); values from VASP
! SG: Pm-3m (221)
! Energy above the lowest structure with this stoichiometry in meV per atom: 235
&SYSTEM
  ibrav = 0, nat = 5, ntyp = 3
/
ATOMIC_SPECIES
Ga 69.72 Ga.upf
Fe 55.84 Fe.upf
Pa 231.04 Pa.upf
CELL_PARAMETERS angstrom
-3.662 -1.396 2.302
2.583 -2.914 2.343
0.756 3.196 3.141
ATOMIC_POSITIONS crystal
Ga 0.500 0.000 0.000
Ga 0.000 0.500 0.000
Ga 0.000 0.000 0.500
Fe 0.000 0.000 0.000
Pa 0.500 0.500 0.500

***

Record 2
! AcSnIr2 (PBE, optimized geometry); values from VASP
! SG: Amm2 (38)
! E_tot in eV per atom: -6.679
&SYSTEM
  ibrav = 0, nat = 4, ntyp = 3
/
ATOMIC_SPECIES
Ir 192.22 Ir.upf
Sn 118.71 Sn.upf
Ac 227.00 Ac.upf
CELL_PARAMETERS angstrom
-3.270 2.033 1.347
-2.987 -2.746 -3.107
0.189 -2.606 4.392
ATOMIC_POSITIONS crystal
Ir 0.500 0.092 0.482
Ir 0.500 0.518 0.908
Sn 0.500 0.581 0.419
Ac 0.000 0.024 0.976

***

Record 3
! Pm3Y4Ir4 (PBE, optimized geometry); values from VASP
! SG: Immm (71)
! E_tot in eV per atom: -7.473
&SYSTEM
  ibrav = 0, nat = 11, ntyp = 3
/
ATOMIC_SPECIES
Y 88.91 Y.upf
Ir 192.22 Ir.upf
Pm 145.00 Pm.upf
CELL_PARAMETERS angstrom
-0.941 2.565 -2.822
-8.342 -0.276 2.531
5.981 4.927 5.219
ATOMIC_POSITIONS crystal
Y 0.332 0.522 0.664
Y 0.668 0.858 0.336
Y 0.668 0.478 0.336
Y 0.332 0.142 0.664
Ir 0.500 0.783 0.000
Ir 0.500 0.217 0.000
Ir 0.248 0.748 0.495
Ir 0.752 0.252 0.505
Pm 0.101 0.101 0.202
Pm 0.000 0.500 0.000
Pm 0.899 0.899 0.798

***

Record 4
! CaIF2 (PBE, optimized geometry); values from VASP
! Energy relative to the elements, uncorrected in eV per formula unit: -11.0
! SG: R-3m (166)
! Energy above the lowest structure with this stoichiometry in meV per atom: 0
&SYSTEM
  ibrav = 0, nat = 4, ntyp = 3
/
ATOMIC_SPECIES
F 19.00 F.upf
Ca 40.08 Ca.upf
I 126.90 I.upf
CELL_PARAMETERS angstrom
3.619 -9.306 0.936
2.091 -9.548 -2.246
5.367 -8.244 -1.951
ATOMIC_POSITIONS crystal
F 0.867 0.867 0.867
F 0.133 0.133 0.133
Ca 0.500 0.500 0.500
I 0.000 0.000 0.000

***

Record 5
! Pm2Pa2Ni15 (PBE, optimized geometry); values from VASP
! SG: R-3m (166)
! E_tot in eV per atom: -6.341
&SYSTEM
  ibrav = 0, nat = 19, ntyp = 3
/
ATOMIC_SPECIES
Ni 58.69 Ni.upf
Pm 145.00 Pm.upf
Pa 231.04 Pa.upf
CELL_PARAMETERS angstrom
6.527 0.060 0.054
0.906 6.464 0.054
0.906 0.796 6.415
ATOMIC_POSITIONS crystal
Ni 0.000 0.000 0.500
Ni 0.307 0.000 0.693
Ni 0.307 0.693 0.000
Ni 0.656 0.656 0.160
Ni 0.344 0.344 0.840
Ni 0.840 0.344 0.344
Ni 0.656 0.160 0.656
Ni 0.500 0.000 0.000
Ni 0.000 0.500 0.000
Ni 0.693 0.000 0.307
Ni 0.344 0.840 0.344
Ni 0.693 0.307 0.000
Ni 0.000 0.307 0.693
Ni 0.000 0.693 0.307
Ni 0.160 0.656 0.656
Pm 0.361 0.361 0.361
Pm 0.639 0.639 0.639
Pa 0.891 0.891 0.891
Pa 0.109 0.109 0.109

***

Record 6
! La4Si3Rh (PBE, optimized geometry); values from VASP
! Energy relative to the elements, uncorrected in eV per formula unit: -5.9
! SG: Pmm2 (25)
&SYSTEM
  ibrav = 0, nat = 8, ntyp = 3
/
ATOMIC_SPECIES
Si 28.09 Si.upf
Rh 102.91 Rh.upf
La 138.91 La.upf
CELL_PARAMETERS angstrom
-1.770 3.412 -2.313
-1.756 -2.642 -2.552
-9.002 -0.276 6.479
ATOMIC_POSITIONS crystal
Si 0.000 0.000 0.433
Si 0.000 0.500 0.566
Si 0.500 0.000 0.938
Rh 0.500 0.500 0.070
La 0.500 0.000 0.643
La 0.000 0.500 0.861
La 0.500 0.500 0.353
La 0.000 0.000 0.136

***

Record 7
! InSe2IN (PBE, optimized geometry); values from VASP
! Energy relative to the elements, uncorrected in eV per formula unit: 4.9
! SG: P4/mmm (123)
! Energy above the lowest structure with this stoichiometry in meV per atom: 78
&SYSTEM
  ibrav = 0, nat = 5, ntyp = 4
/
ATOMIC_SPECIES
N 14.01 N.upf
In 114.82 In.upf
Se 78.96 Se.upf
I 126.90 I.upf
CELL_PARAMETERS angstrom
-4.277 3.532 0.663
-3.547 -3.982 -1.664
-0.414 -1.211 3.780
ATOMIC_POSITIONS crystal
N 0.000 0.000 0.500
In 0.500 0.500 0.500
Se 0.500 0.000 0.000
Se 0.000 0.500 0.000
I 0.000 0.000 0.000

***

Record 8
! La4DyMg (PBE, optimized geometry); values from VASP
! SG: C2/c (15)
! Energy above the lowest structure with this stoichiometry in meV per atom: 21
&SYSTEM
  ibrav = 0, nat = 12, ntyp = 3
/
ATOMIC_SPECIES
La 138.91 La.upf
Mg 24.30 Mg.upf
Dy 162.50 Dy.upf
CELL_PARAMETERS angstrom
-5.833 1.833 1.493
-3.349 -3.296 4.187
7.390 7.129 6.759
ATOMIC_POSITIONS crystal
La 0.680 0.158 0.003
La 0.320 0.842 0.997
La 0.410 0.253 0.251
La 0.253 0.410 0.751
La 0.590 0.747 0.749
La 0.842 0.320 0.497
La 0.158 0.680 0.503
La 0.747 0.590 0.249
Mg 0.912 0.088 0.750
Mg 0.088 0.912 0.250
Dy 0.000 0.500 0.000
Dy 0.500 0.000 0.500

***

Record 9
! IrRh3 (PBE, optimized geometry); values from VASP
! SG: Im-3 (204)
! E_tot in eV per atom: -6.872
&SYSTEM
  ibrav = 0, nat = 16, ntyp = 2
/
ATOMIC_SPECIES
Rh 102.91 Rh.upf
Ir 192.22 Ir.upf
CELL_PARAMETERS angstrom
6.934 0.000 -2.452
-3.467 6.005 -2.452
0.000 0.000 7.355
ATOMIC_POSITIONS crystal
Rh 0.500 0.357 0.142
Rh 0.142 0.785 0.643
Rh 0.215 0.357 0.858
Rh 0.858 0.215 0.357
Rh 0.858 0.500 0.643
Rh 0.357 0.858 0.215
Rh 0.785 0.643 0.142
Rh 0.643 0.858 0.500
Rh 0.500 0.643 0.858
Rh 0.357 0.142 0.500
Rh 0.142 0.500 0.357
Rh 0.643 0.142 0.785
Ir 0.500 0.000 0.000
Ir 0.000 0.500 0.000
Ir 0.500 0.500 0.500
Ir 0.000 0.000 0.500

***

Record 10
! Pm8AlGe5 (PBE, optimized geometry); values from VASP
! SG: I-4 (82)
! E_tot in eV per atom: -5.341
&SYSTEM
  ibrav = 0, nat = 14, ntyp = 3
/
ATOMIC_SPECIES
Pm 145.00 Pm.upf
Ge 72.64 Ge.upf
Al 26.98 Al.upf
CELL_PARAMETERS angstrom
0.235 -5.601 -5.579
2.864 -2.913 6.772
-7.475 2.338 1.098
ATOMIC_POSITIONS crystal
Pm 0.631 0.888 0.874
Pm 0.985 0.112 0.743
Pm 0.257 0.242 0.369
Pm 0.125 0.756 0.508
Pm 0.631 0.383 0.875
Pm 0.126 0.758 0.015
Pm 0.492 0.617 0.248
Pm 0.752 0.244 0.369
Ge 0.870 0.875 0.249
Ge 0.751 0.621 0.626
Ge 0.500 0.000 0.500
Ge 0.004 0.379 0.130
Ge 0.374 0.125 0.996
Al 0.250 0.500 0.750

***

Record 11
! La2TbIr (PBE, optimized geometry); values from VASP
! SG: R3m (160)
! Energy above the lowest structure with this stoichiometry in meV per atom: 188
&SYSTEM
  ibrav = 0, nat = 4, ntyp = 3
/
ATOMIC_SPECIES
La 138.91 La.upf
Tb 158.93 Tb.upf
Ir 192.22 Ir.upf
CELL_PARAMETERS angstrom
4.077 0.000 0.000
2.039 3.531 0.000
2.039 1.177 9.320
ATOMIC_POSITIONS crystal
La 0.058 0.058 0.826
La 0.275 0.275 0.175
Tb 0.501 0.501 0.498
Ir 0.666 0.666 0.001

***

Record 12
! Ca2ReTe (PBE, optimized geometry); values from VASP
! Energy relative to the elements, uncorrected in eV per formula unit: 1.3
! SG: R-3m (166)
&SYSTEM
  ibrav = 0, nat = 4, ntyp = 3
/
ATOMIC_SPECIES
Te 127.60 Te.upf
Re 186.21 Re.upf
Ca 40.08 Ca.upf
CELL_PARAMETERS angstrom
-5.576 -6.209 4.716
-4.093 -8.346 2.340
-2.396 -7.594 5.335
ATOMIC_POSITIONS crystal
Te 0.750 0.750 0.750
Re 0.250 0.250 0.250
Ca 0.996 0.996 0.996
Ca 0.504 0.504 0.504

***

Record 13
! Ta5Cu4 (PBE, optimized geometry); values from VASP
! SG: P6_3/mcm (193)
! Energy above the lowest structure with this stoichiometry in meV per atom: 0
&SYSTEM
  ibrav = 0, nat = 18, ntyp = 2
/
ATOMIC_SPECIES
Cu 63.55 Cu.upf
Ta 180.95 Ta.upf
CELL_PARAMETERS angstrom
7.744 0.000 0.000
3.872 6.707 0.000
0.000 0.000 5.421
ATOMIC_POSITIONS crystal
Cu 0.000 0.000 0.000
Cu 0.666 0.334 0.250
Cu 0.000 0.666 0.250
Cu 0.000 0.000 0.500
Cu 0.000 0.334 0.750
Cu 0.666 0.000 0.750
Cu 0.334 0.666 0.750
Cu 0.334 0.000 0.250
Ta 0.667 0.667 0.500
Ta 0.000 0.671 0.750
Ta 0.333 0.333 0.500
Ta 0.671 0.000 0.250
Ta 0.671 0.329 0.750
Ta 0.000 0.329 0.250
Ta 0.667 0.667 0.000
Ta 0.329 0.000 0.750
Ta 0.329 0.671 0.250
Ta 0.333 0.333 0.000

***

Record 14
! Ta2HgSe (PBE, optimized geometry); values from VASP
! Energy relative to the elements, uncorrected in eV per formula unit: 0.9
! SG: Cm (8)
! Energy above the lowest structure with this stoichiometry in meV per atom: 255
&SYSTEM
  ibrav = 0, nat = 4, ntyp = 3
/
ATOMIC_SPECIES
Ta 180.95 Ta.upf
Hg 200.59 Hg.upf
Se 78.96 Se.upf
CELL_PARAMETERS angstrom
5.363 -0.001 -0.267
4.424 3.031 -0.267
0.913 0.283 4.644
ATOMIC_POSITIONS crystal
Ta 0.042 0.042 0.905
Ta 0.223 0.223 0.330
Hg 0.485 0.485 0.420
Se 0.750 0.750 0.845

***

Record 15
! PmPr4NdEr2 (PBE, optimized geometry); values from VASP
! SG: P2/m (10)
! E_tot in eV per atom: -4.705
&SYSTEM
  ibrav = 0, nat = 8, ntyp = 4
/
ATOMIC_SPECIES
Nd 144.24 Nd.upf
Pm 145.00 Pm.upf
Pr 140.91 Pr.upf
Er 167.26 Er.upf
CELL_PARAMETERS angstrom
3.666 0.000 0.000
0.000 6.313 0.146
0.000 1.848 11.903
ATOMIC_POSITIONS crystal
Nd 0.500 0.500 0.000
Pm 0.000 0.500 0.500
Pr 0.500 0.752 0.248
Pr 0.000 0.752 0.747
Pr 0.000 0.248 0.253
Pr 0.500 0.248 0.752
Er 0.500 0.000 0.500
Er 0.000 0.000 0.000

***

Record 16
! BaTeS2N (PBE, optimized geometry); values from VASP
! Energy relative to the elements, uncorrected in eV per formula unit: 5.5
! SG: P4/mmm (123)
! Energy above the lowest structure with this stoichiometry in meV per atom: 1345
&SYSTEM
  ibrav = 0, nat = 5, ntyp = 4
/
ATOMIC_SPECIES
S 32.06 S.upf
Ba 137.33 Ba.upf
Te 127.60 Te.upf
N 14.01 N.upf
CELL_PARAMETERS angstrom
-0.636 -1.859 5.587
5.417 -2.389 -0.178
1.981 4.367 1.679
ATOMIC_POSITIONS crystal
S 0.500 0.000 0.000
S 0.000 0.500 0.000
Ba 0.000 0.000 0.000
Te 0.500 0.500 0.500
N 0.000 0.000 0.500

***

Record 17
! Cs2KMgH5 (PBE, optimized geometry); values from VASP
! SG: Immm (71)
! E_tot in eV per atom: -2.540
&SYSTEM
  ibrav = 0, nat = 9, ntyp = 4
/
ATOMIC_SPECIES
H 1.01 H.upf
Cs 132.91 Cs.upf
K 39.10 K.upf
Mg 24.30 Mg.upf
CELL_PARAMETERS angstrom
4.114 0.000 0.000
0.000 6.329 0.000
-2.057 -3.164 7.061
ATOMIC_POSITIONS crystal
H 0.000 0.000 0.000
H 0.397 0.671 0.794
H 0.603 0.877 0.206
H 0.397 0.123 0.794
H 0.603 0.329 0.206
Cs 0.790 0.790 0.580
Cs 0.210 0.210 0.420
K 0.000 0.500 0.000
Mg 0.500 0.000 0.000

***

Record 18
! Tc2Ir (PBE, optimized geometry); values from VASP
! SG: Immm (71)
! Energy above the lowest structure with this stoichiometry in meV per atom: 128
&SYSTEM
  ibrav = 0, nat = 3, ntyp = 2
/
ATOMIC_SPECIES
Ir 192.22 Ir.upf
Tc 98.00 Tc.upf
CELL_PARAMETERS angstrom
4.753 -0.002 0.002
2.383 4.113 -0.002
-3.160 -2.764 2.229
ATOMIC_POSITIONS crystal
Ir 0.000 0.000 0.000
Tc 0.332 0.332 0.000
Tc 0.668 0.668 0.000

***

Record 19
! Sm5TmPb5 (PBE, optimized geometry); values from VASP
! SG: C2/m (12)
! E_tot in eV per atom: -4.538
&SYSTEM
  ibrav = 0, nat = 11, ntyp = 3
/
ATOMIC_SPECIES
Sm 150.36 Sm.upf
Pb 207.20 Pb.upf
Tm 168.93 Tm.upf
CELL_PARAMETERS angstrom
-6.115 -1.336 -0.959
3.616 -5.550 5.578
-1.932 5.747 4.312
ATOMIC_POSITIONS crystal
Sm 0.660 0.320 0.814
Sm 0.000 0.000 0.500
Sm 0.670 0.340 0.320
Sm 0.340 0.680 0.186
Sm 0.330 0.660 0.680
Pb 0.165 0.329 0.340
Pb 0.835 0.671 0.660
Pb 0.500 0.000 0.000
Pb 0.834 0.669 0.145
Pb 0.166 0.331 0.855
Tm 0.000 0.000 0.000

***

Record 20
! Ag2Pd2Au5 (PBE, optimized geometry); values from VASP
! SG: Amm2 (38)
! Energy above the lowest structure with this stoichiometry in meV per atom: 85
&SYSTEM
  ibrav = 0, nat = 18, ntyp = 3
/
ATOMIC_SPECIES
Au 196.97 Au.upf
Ag 107.87 Ag.upf
Pd 106.42 Pd.upf
CELL_PARAMETERS angstrom
4.652 0.000 0.000
0.000 8.153 0.000
-2.326 -4.077 8.419
ATOMIC_POSITIONS crystal
Au 0.335 0.205 0.670
Au 0.665 0.536 0.330
Au 0.083 0.288 0.166
Au 0.835 0.705 0.670
Au 0.917 0.121 0.834
Au 0.583 0.788 0.166
Au 0.751 0.286 0.500
Au 0.417 0.621 0.834
Au 0.249 0.786 0.500
Au 0.165 0.036 0.330
Ag 0.251 0.454 0.500
Ag 0.500 0.371 0.000
Ag 0.000 0.871 0.000
Ag 0.749 0.954 0.500
Pd 0.415 0.952 0.831
Pd 0.084 0.621 0.169
Pd 0.585 0.121 0.169
Pd 0.916 0.452 0.831

***

Record 21
! KAu2I2 (PBE, optimized geometry); values from VASP
! Energy relative to the elements, uncorrected in eV per formula unit: -1.1
! SG: I4/mmm (139)
! Energy above the lowest structure with this stoichiometry in meV per atom: 44
&SYSTEM
  ibrav = 0, nat = 5, ntyp = 3
/
ATOMIC_SPECIES
I 126.90 I.upf
Au 196.97 Au.upf
K 39.10 K.upf
CELL_PARAMETERS angstrom
5.679 0.000 0.000
0.000 5.679 0.000
2.839 2.839 5.028
ATOMIC_POSITIONS crystal
I 0.750 0.250 0.500
I 0.250 0.750 0.500
Au 0.635 0.635 0.730
Au 0.365 0.365 0.270
K 0.000 0.000 0.000

***

Record 22
! TbMoAs2 (PBE, optimized geometry); values from VASP
! SG: Fm-3m (225)
! Energy above the lowest structure with this stoichiometry in meV per atom: 140
&SYSTEM
  ibrav = 0, nat = 4, ntyp = 3
/
ATOMIC_SPECIES
As 74.92 As.upf
Mo 95.94 Mo.upf
Tb 158.93 Tb.upf
CELL_PARAMETERS angstrom
4.710 0.000 0.000
2.355 4.079 0.000
2.355 1.360 3.846
ATOMIC_POSITIONS crystal
As 0.250 0.250 0.250
As 0.750 0.750 0.750
Mo 0.500 0.500 0.500
Tb 0.000 0.000 0.000

***

Record 23
! LaSmGd2 (PBE, optimized geometry); values from VASP
! SG: P4/mmm (123)
! Energy above the lowest structure with this stoichiometry in meV per atom: 2
&SYSTEM
  ibrav = 0, nat = 4, ntyp = 3
/
ATOMIC_SPECIES
Gd 157.25 Gd.upf
Sm 150.36 Sm.upf
La 138.91 La.upf
CELL_PARAMETERS angstrom
3.640 0.000 0.000
0.000 3.640 0.000
0.000 0.000 10.252
ATOMIC_POSITIONS crystal
Gd 0.000 0.000 0.755
Gd 0.000 0.000 0.245
Sm 0.500 0.500 0.000
La 0.500 0.500 0.500

***

Record 24
! Ce2PmP (PBE, optimized geometry); values from VASP
! SG: R3m (160)
! Energy above the lowest structure with this stoichiometry in meV per atom: 0
&SYSTEM
  ibrav = 0, nat = 4, ntyp = 3
/
ATOMIC_SPECIES
Pm 145.00 Pm.upf
P 30.97 P.upf
Ce 140.12 Ce.upf
CELL_PARAMETERS angstrom
-3.631 -0.563 1.034
-0.928 -3.016 2.148
-0.105 3.878 8.790
ATOMIC_POSITIONS crystal
Pm 0.500 0.500 0.498
P 0.667 0.667 0.000
Ce 0.271 0.271 0.186
Ce 0.062 0.062 0.815